VASP calculation (SCAN) on a PBEsol-optimized structure of NbGaSN2.

Properties
- crystal system = tetragonal
- N(E_F) (states/eV per atom) = 0.658
- total magnetic moment (μB/f.u.) = 0.00
- raw formation energy (meV per atom) = 178

Cell: 3.967 3.967 5.137 Å, 90.00 90.00 90.00°
Fractional positions:
N 0.000 0.500 0.000
Ga 0.500 0.500 0.500
N 0.500 0.000 0.000
Nb 0.000 0.000 0.000
S 0.000 0.000 0.500

VASP calculation (SCAN) on a PBEsol-optimized structure of CuNiRh2.

Properties
- crystal system = orthorhombic
- N(E_F) (states/eV per atom) = 1.382
- E_form (eV per formula unit) = 0.46
- total magnetic moment (μB/f.u.) = 0.00

Cell: 2.637 3.543 5.255 Å, 90.00 90.00 90.00°
Fractional positions:
Rh 0.000 0.000 0.253
Rh 0.000 0.000 0.747
Ni 0.500 0.500 0.500
Cu 0.500 0.500 0.000

VASP calculation (SCAN) on a PBEsol-optimized structure of Sb2MoRh.

Properties
- crystal system = orthorhombic
- N(E_F) (states/eV per atom) = 0.680
- total magnetic moment (μB/f.u.) = 0.00
- raw formation energy (meV per atom) = 32

Cell: 3.157 4.571 4.998 Å, 90.00 90.00 90.00°
Fractional positions:
Rh 0.500 0.741 0.500
Mo 0.000 0.508 0.000
Sb 0.000 0.262 0.500
Sb 0.500 0.990 0.000

VASP calculation (SCAN) on a PBEsol-optimized structure of Be2RhAu.

Properties
- crystal system = orthorhombic
- N(E_F) (states/eV per atom) = 0.323
- ΔE to the lowest computed polymorph (meV/atom) = 100
- E_form (eV per formula unit) = -2.13
- total magnetic moment (μB/f.u.) = 0.00

Cell: 2.911 3.664 4.491 Å, 90.00 108.91 90.00°
Fractional positions:
Au 0.772 0.500 0.544
Be 0.043 0.500 0.087
Rh 0.484 0.000 0.968
Be 0.201 0.000 0.401

VASP calculation (SCAN) on a PBEsol-optimized structure of TcMo2Cl.

Properties
- crystal system = tetragonal
- N(E_F) (states/eV per atom) = 0.849
- ΔE to the lowest computed polymorph (meV/atom) = 712
- total magnetic moment (μB/f.u.) = 0.00
- raw formation energy (meV per atom) = 1017

Cell: 3.670 3.670 5.054 Å, 111.29 111.29 90.00°
Fractional positions:
Cl 0.000 0.000 0.000
Tc 0.500 0.500 0.000
Mo 0.250 0.750 0.500
Mo 0.750 0.250 0.500

VASP calculation (SCAN) on a PBEsol-optimized structure of Mn3Hg2.

Properties
- crystal system = trigonal
- N(E_F) (states/eV per atom) = 0.475
- E_form (eV per formula unit) = 0.38
- total magnetic moment (μB/f.u.) = 13.00

Cell: 4.449 4.449 5.538 Å, 90.00 90.00 120.00°
Last column: magnetic moment on the atom in μB.
Fractional positions:
Hg 0.333 0.667 0.820  -0.03
Mn 0.000 0.000 0.000  4.17
Mn 0.667 0.333 0.659  4.21
Hg 0.667 0.333 0.180  -0.03
Mn 0.333 0.667 0.341  4.21